The following is a DFT calculation (PBE) of a geometry-optimized Mg2InCl structure.

Values from the calculation:
- SG: No. 225
- Raw formation energy: -0.15 eV per atom
- Polymorph energy (0 for the lowest one): 1.62 eV per formula unit

abc: 5.214 5.214 5.214
angles: 60.00 60.00 60.00
Fractional coordinates of all 4 atoms:
1 Mg 0.250 0.250 0.250
2 Mg 0.750 0.750 0.750
3 Cl 0.000 0.000 0.000
4 In 0.500 0.500 0.500

The following is a DFT calculation (PBE) of a geometry-optimized Sc2Ag3 structure.

Values from the calculation:
- SG: No. 139
- Polymorph energy (0 for the lowest one): 0.00 eV per formula unit
- Formation enthalpy at 0 K: -0.267 eV per atom

abc: 8.272 3.522 3.522
angles: 90.00 77.71 102.29
Fractional coordinates of all 5 atoms:
1 Ag 0.004 0.002 0.998
2 Ag 0.196 0.598 0.402
3 Ag 0.600 0.800 0.200
4 Sc 0.388 0.194 0.806
5 Sc 0.812 0.406 0.594

The following is a DFT calculation (PBE) of a geometry-optimized Rb4CaF6 structure.

Values from the calculation:
- SG: No. 167
- Raw formation energy: -3.01 eV per atom

abc: 7.782 7.782 7.782
angles: 90.57 90.57 89.43
Fractional coordinates of all 22 atoms:
1 Rb 0.391 0.109 0.250
2 Rb 0.891 0.250 0.391
3 Rb 0.250 0.609 0.109
4 Rb 0.250 0.250 0.750
5 Rb 0.750 0.750 0.250
6 Rb 0.750 0.391 0.891
7 Rb 0.109 0.750 0.609
8 Rb 0.609 0.891 0.750
9 Ca 0.500 0.500 0.500
10 Ca 0.000 0.000 0.000
11 F 0.722 0.057 0.074
12 F 0.074 0.278 0.057
13 F 0.574 0.443 0.222
14 F 0.943 0.074 0.722
15 F 0.557 0.222 0.574
16 F 0.222 0.426 0.443
17 F 0.778 0.574 0.557
18 F 0.443 0.778 0.426
19 F 0.057 0.926 0.278
20 F 0.426 0.557 0.778
21 F 0.926 0.722 0.943
22 F 0.278 0.943 0.926

The following is a DFT calculation (PBE) of a geometry-optimized Y5Er12Sc2 structure.

Values from the calculation:
- SG: No. 12
- Formation enthalpy at 0 K: 0.168 eV per atom

abc: 7.338 10.076 9.628
angles: 64.76 90.00 111.35
Fractional coordinates of all 19 atoms:
1 Y 0.182 0.364 0.817
2 Y 0.318 0.635 0.192
3 Y 0.000 0.000 0.500
4 Y 0.682 0.365 0.808
5 Y 0.818 0.636 0.183
6 Er 0.997 0.993 0.198
7 Er 0.088 0.682 0.848
8 Er 0.594 0.682 0.848
9 Er 0.082 0.679 0.489
10 Er 0.597 0.679 0.489
11 Er 0.503 0.006 0.682
12 Er 0.497 0.994 0.318
13 Er 0.918 0.321 0.511
14 Er 0.403 0.321 0.511
15 Er 0.912 0.318 0.152
16 Er 0.406 0.318 0.152
17 Er 0.003 0.007 0.802
18 Sc 0.691 0.000 0.000
19 Sc 0.309 0.000 0.000

The following is a DFT calculation (PBE) of a geometry-optimized Mn2IrCl structure.

Values from the calculation:
- SG: No. 6
- Raw formation energy: 0.19 eV per atom
- Polymorph energy (0 for the lowest one): 1.15 eV per formula unit

abc: 2.953 2.936 7.267
angles: 78.48 90.00 90.00
Fractional coordinates of all 4 atoms:
1 Ir 0.500 0.535 0.804
2 Mn 0.000 0.941 0.994
3 Mn 0.500 0.322 0.234
4 Cl 0.000 0.703 0.467

The following is a DFT calculation (PBE) of a geometry-optimized Ba2CeThSb4 structure.

Values from the calculation:
- SG: No. 10
- Raw formation energy: -1.01 eV per atom

abc: 4.693 8.126 8.388
angles: 108.84 90.00 90.00
Fractional coordinates of all 8 atoms:
1 Ba 0.500 0.000 0.500
2 Ba 0.000 0.500 0.500
3 Ce 0.000 0.000 0.000
4 Th 0.500 0.500 0.000
5 Sb 0.500 0.235 0.211
6 Sb 0.500 0.765 0.789
7 Sb 0.000 0.260 0.786
8 Sb 0.000 0.740 0.214

The following is a DFT calculation (PBE) of a geometry-optimized Cs2HgSI structure.

Values from the calculation:
- SG: No. 123
- Raw formation energy: -0.96 eV per atom

abc: 6.889 6.889 5.187
angles: 90.00 90.00 90.00
Fractional coordinates of all 5 atoms:
1 Cs 0.000 0.500 0.000
2 Cs 0.500 0.000 0.000
3 I 0.500 0.500 0.500
4 S 0.000 0.000 0.000
5 Hg 0.000 0.000 0.500

The following is a DFT calculation (PBE) of a geometry-optimized Np3Ga6Pt5 structure.

Values from the calculation:
- SG: No. 59
- Formation enthalpy at 0 K: -0.589 eV per atom

abc: 4.323 9.321 12.842
angles: 90.00 90.00 90.00
Fractional coordinates of all 28 atoms:
1 Np 0.000 0.250 0.705
2 Np 0.500 0.750 0.205
3 Np 0.500 0.750 0.795
4 Np 0.000 0.259 0.000
5 Np 0.500 0.741 0.500
6 Np 0.000 0.250 0.295
7 Ga 0.000 0.977 0.848
8 Ga 0.500 0.023 0.652
9 Ga 0.500 0.410 0.825
10 Ga 0.500 0.593 0.000
11 Ga 0.000 0.407 0.500
12 Ga 0.000 0.590 0.675
13 Ga 0.000 0.590 0.325
14 Ga 0.500 0.955 0.000
15 Ga 0.000 0.977 0.152
16 Ga 0.500 0.410 0.175
17 Ga 0.000 0.045 0.500
18 Ga 0.500 0.023 0.348
19 Pt 0.000 0.538 0.881
20 Pt 0.000 0.866 0.655
21 Pt 0.000 0.794 0.000
22 Pt 0.500 0.462 0.619
23 Pt 0.500 0.206 0.500
24 Pt 0.000 0.538 0.119
25 Pt 0.500 0.462 0.381
26 Pt 0.000 0.866 0.345
27 Pt 0.500 0.134 0.845
28 Pt 0.500 0.134 0.155